(1)
Density functional theory data (GGA-PBE) for a relaxed Tl2IrI5 crystal.

Summary:
- Space-group type: I4mm
- E_tot: -0.21500 Ry per atom

Cell: 8.3260 8.3263 7.6455 Å, 122.98 122.97 90.01°
Closest atoms and distances in Å follow each position.
Positions (direct):
Tl (0.2299, 0.7296, 0.4591)  4 I 3.59-3.60
Tl (0.7296, 0.2297, 0.4590)  4 I 3.59-3.60
Ir (0.9996, 0.9996, 0.9992)  5 I 2.57-2.66
I (0.7951, 0.2457, 0.0409)  1 Ir 2.66
I (0.2456, 0.2455, 0.0405)  1 Ir 2.66
I (0.7951, 0.7951, 0.0410)  1 Ir 2.66
I (0.2457, 0.7951, 0.0408)  1 Ir 2.66
I (0.7365, 0.7366, 0.4734)  1 Ir 2.57

***

(2)
Density functional theory data (GGA-PBE) for a relaxed Tm2IrI crystal.

Summary:
- Space-group type: R-3m
- E_tot: -0.42658 Ry per atom

Cell: 4.0842 4.0842 8.1316 Å, 75.46 75.46 60.00°
Closest atoms and distances in Å follow each position.
Positions (direct):
I (0.5000, 0.5000, 0.5000)  6 Tm 3.45
Ir (0.0000, 0.0000, 0.0000)  6 Tm 2.73
Tm (0.2743, 0.2743, 0.1772)  3 Ir 2.73
Tm (0.7257, 0.7257, 0.8228)  3 Ir 2.73

***

(3)
Density functional theory data (GGA-PBE) for a relaxed Tm4IrI5 crystal.

Summary:
- Space-group type: C2/m
- E_tot: -0.33767 Ry per atom

Cell: 4.1045 8.8083 10.0140 Å, 101.89 101.83 90.00°
Closest atoms and distances in Å follow each position.
Positions (direct):
Tm (0.6408, 0.0715, 0.2816)  1 Ir 2.70
Tm (0.0012, 0.1991, 0.0024)  2 Ir 2.70
Tm (0.3592, 0.9285, 0.7184)  1 Ir 2.70
Tm (0.9988, 0.8009, 0.9976)  2 Ir 2.70
Ir (0.5000, 0.0000, 0.0000)  6 Tm 2.70
I (0.1682, 0.3405, 0.3364)  3 Tm 3.09-3.25
I (0.1790, 0.8335, 0.3579)  4 Tm 3.14-3.48
I (0.8210, 0.1665, 0.6421)  4 Tm 3.14-3.48
I (0.5000, 0.5000, 0.0000)  4 Tm 3.36
I (0.8318, 0.6595, 0.6636)  3 Tm 3.09-3.25

***

(4)
Density functional theory data (GGA-PBE) for a relaxed UIrI crystal.

Summary:
- Space-group type: C2/m
- E_tot: -0.56885 Ry per atom

Cell: 3.9839 3.9839 10.9186 Å, 89.88 89.88 90.00°
Closest atoms and distances in Å follow each position.
Positions (direct):
I (0.7479, 0.7479, 0.3366)  4 U 3.33
I (0.2521, 0.2521, 0.6634)  4 U 3.33
U (0.7511, 0.7511, 0.8254)  4 Ir 2.76
U (0.2489, 0.2489, 0.1746)  4 Ir 2.76
Ir (0.2500, 0.7500, 0.0000)  4 U 2.76, 4 Ir 2.82
Ir (0.7500, 0.2500, 0.0000)  4 U 2.76, 4 Ir 2.82

***

What formation energy from raw total energies values result from the calculations? In sequence: -0.257, -0.965, -1.144, -0.507 eV/atom.